Entry 1:
# AlIn2W | Alexandria via LeMat-Bulk | PBE | relaxed
# * energy: -60.78 eV/cell
# * DOS(E_F): 0.642 states/eV/atom
data_AlIn2W
_space_group_name_H-M_alt 'R -3 m'
_space_group_IT_number 166
_space_group_name_Hall '-R 3 2"'
_cell_length_a 3.0023
_cell_length_b 3.0023
_cell_length_c 30.5122
_cell_angle_alpha 90.00
_cell_angle_beta 90.00
_cell_angle_gamma 120.00
loop_
_atom_site_label
_atom_site_type_symbol
_atom_site_fract_x
_atom_site_fract_y
_atom_site_fract_z
Al1 Al 0.0000 0.0000 0.0000
In1 In 0.0000 0.0000 0.2457
W1 W 0.0000 0.0000 0.5000



Entry 2:
# CuPRu2 | Alexandria via LeMat-Bulk | PBE | relaxed
# * energy: -84.64 eV/cell
# * DOS(E_F): 0.634 states/eV/atom
data_CuPRu2
_space_group_name_H-M_alt 'R -3 m'
_space_group_IT_number 166
_space_group_name_Hall '-R 3 2"'
_cell_length_a 2.8219
_cell_length_b 2.8219
_cell_length_c 23.3510
_cell_angle_alpha 90.00
_cell_angle_beta 90.00
_cell_angle_gamma 120.00
loop_
_atom_site_label
_atom_site_type_symbol
_atom_site_fract_x
_atom_site_fract_y
_atom_site_fract_z
Cu1 Cu 0.0000 0.0000 0.0000
P1 P 0.0000 0.0000 0.5000
Ru1 Ru 0.0000 0.0000 0.2406



Entry 3:
# CaPm2OsC2 | Alexandria via LeMat-Bulk | PBE | relaxed
# * energy: -82.03 eV/cell
# * DOS(E_F): 0.612 states/eV/atom
data_CaPm2OsC2
_space_group_name_H-M_alt 'P n n m'
_space_group_IT_number 58
_cell_length_a 5.817
_cell_length_b 10.860
_cell_length_c 4.016
_cell_angle_alpha 90.00
_cell_angle_beta 90.00
_cell_angle_gamma 90.00
loop_
_space_group_symop_operation_xyz
'x,y,z'
'-x,-y,-z'
'-x,-y,z'
'x,y,-z'
'x+1/2,-y+1/2,-z+1/2'
'-x+1/2,y+1/2,z+1/2'
'-x+1/2,y+1/2,-z+1/2'
'x+1/2,-y+1/2,z+1/2'
loop_
_atom_site_label
_atom_site_type_symbol
_atom_site_fract_x
_atom_site_fract_y
_atom_site_fract_z
Ca1 Ca 0.000 0.000 0.000
Pm1 Pm 0.048 0.297 0.500
Os1 Os 0.000 0.500 0.000
C1 C 0.242 0.883 0.500



Entry 4:
# InReI2N | Alexandria via LeMat-Bulk | PBE | relaxed
# * energy: -18.20 eV/cell
# * energy above the most stable polymorph in this dataset: 1405.2 meV per atom
# * ΔE_f (raw): 1682 meV per atom
# * DOS(E_F): 0.980 states/eV/atom
data_InReI2N
_space_group_name_H-M_alt 'P 4/m m m'
_space_group_IT_number 123
_space_group_name_Hall '-P 4 2'
_cell_length_a 6.137
_cell_length_b 6.137
_cell_length_c 4.044
_cell_angle_alpha 90.00
_cell_angle_beta 90.00
_cell_angle_gamma 90.00
loop_
_atom_site_label
_atom_site_type_symbol
_atom_site_fract_x
_atom_site_fract_y
_atom_site_fract_z
In1 In 0.000 0.000 0.000
Re1 Re 0.500 0.500 0.500
I1 I 0.000 0.500 0.000
N1 N 0.000 0.000 0.500



Entry 5:
# Ba2GeO | Alexandria via LeMat-Bulk | PBE | relaxed
# * energy: -64.19 eV/cell
# * energy above the most stable polymorph in this dataset: 568.2 meV per atom
# * ΔE_f (raw): -657 meV per atom
# * DOS(E_F): 0.718 states/eV/atom
data_Ba2GeO
_space_group_name_H-M_alt 'F m -3 m'
_space_group_IT_number 225
_space_group_name_Hall '-F 4 2 3'
_cell_length_a 7.706
_cell_length_b 7.706
_cell_length_c 7.706
_cell_angle_alpha 90.00
_cell_angle_beta 90.00
_cell_angle_gamma 90.00
loop_
_atom_site_label
_atom_site_type_symbol
_atom_site_fract_x
_atom_site_fract_y
_atom_site_fract_z
Ba1 Ba 0.250 0.250 0.250
Ge1 Ge 0.000 0.000 0.000
O1 O 0.000 0.000 0.500



Entry 6:
# Tl5Hg3 | Alexandria via LeMat-Bulk | PBE | relaxed
# * energy: -25.31 eV/cell
# * energy above the most stable polymorph in this dataset: 16.6 meV per atom
# * DOS(E_F): 0.545 states/eV/atom
data_Tl5Hg3
_space_group_name_H-M_alt 'P 63/m c m'
_space_group_IT_number 193
_space_group_name_Hall '-P 6c 2'
_cell_length_a 9.3257
_cell_length_b 9.3257
_cell_length_c 6.4269
_cell_angle_alpha 90.00
_cell_angle_beta 90.00
_cell_angle_gamma 120.00
loop_
_atom_site_label
_atom_site_type_symbol
_atom_site_fract_x
_atom_site_fract_y
_atom_site_fract_z
Tl1 Tl 0.0000 0.2331 0.2500
Tl2 Tl 0.3333 0.6667 0.0000
Hg1 Hg 0.0000 0.4032 0.7500



Entry 7:
# Na6SBr4 | Alexandria via LeMat-Bulk | PBE | relaxed
# * energy: -200.88 eV/cell
# * ΔE_f (raw): -1341 meV per atom
# * DOS(E_F): 0.000 states/eV/atom
data_Na6SBr4
_space_group_name_H-M_alt 'R -3 c'
_space_group_IT_number 167
_space_group_name_Hall '-R 3 2"c'
_cell_length_a 12.2792
_cell_length_b 12.2792
_cell_length_c 14.9123
_cell_angle_alpha 90.00
_cell_angle_beta 90.00
_cell_angle_gamma 120.00
loop_
_atom_site_label
_atom_site_type_symbol
_atom_site_fract_x
_atom_site_fract_y
_atom_site_fract_z
Na1 Na 0.0454 0.1897 0.3917
S1 S 0.0000 0.0000 0.0000
Br1 Br 0.0000 0.0000 0.2500
Br2 Br 0.0003 0.3333 0.5833



Entry 8:
# ZrRe2P | Alexandria via LeMat-Bulk | PBE | relaxed
# * energy: -76.81 eV/cell
# * DOS(E_F): 1.106 states/eV/atom
data_ZrRe2P
_space_group_name_H-M_alt 'I -4 m 2'
_space_group_IT_number 119
_space_group_name_Hall 'I -4 -2'
_cell_length_a 3.812
_cell_length_b 3.812
_cell_length_c 8.636
_cell_angle_alpha 90.00
_cell_angle_beta 90.00
_cell_angle_gamma 90.00
loop_
_atom_site_label
_atom_site_type_symbol
_atom_site_fract_x
_atom_site_fract_y
_atom_site_fract_z
Zr1 Zr 0.000 0.000 0.000
Re1 Re 0.000 0.000 0.500
Re2 Re 0.000 0.500 0.250
P1 P 0.000 0.500 0.750



Number 1: total magnetic moment 0.00 μB per formula unit. Number 2: total magnetic moment 0.00 μB per formula unit. Number 3: total magnetic moment 0.00 μB per formula unit. Number 4: total magnetic moment 6.62 μB per formula unit. Number 5: total magnetic moment 2.00 μB per formula unit. Number 6: total magnetic moment 0.00 μB per formula unit. Number 7: total magnetic moment 0.00 μB per formula unit. Number 8: total magnetic moment 0.00 μB per formula unit.